Entry 1:
## CsH3AuN (PBEsol)

Data for an optimized crystal structure of CsH3AuN.

Unit cell a=5.128 b=5.128 c=16.013 alpha=79.76 beta=79.76 gamma=82.92
Atoms (fractional coordinates):
Cs1 0.803 0.052 0.393
Cs2 0.948 0.197 0.107
Cs3 0.197 0.948 0.607
Cs4 0.052 0.803 0.893
H1 0.893 0.627 0.251
H2 0.373 0.107 0.249
H3 0.107 0.373 0.749
H4 0.627 0.893 0.751
H5 0.199 0.575 0.198
H6 0.425 0.801 0.302
H7 0.801 0.425 0.802
H8 0.575 0.199 0.698
H9 0.140 0.522 0.306
H10 0.478 0.860 0.194
H11 0.860 0.478 0.694
H12 0.522 0.140 0.806
Au1 0.728 0.476 0.544
Au2 0.524 0.272 0.956
Au3 0.272 0.524 0.456
Au4 0.476 0.728 0.044
N1 0.065 0.500 0.251
N2 0.500 0.935 0.249
N3 0.935 0.500 0.749
N4 0.500 0.065 0.751

=====

Entry 2:
## CsHOs2Au (PBEsol)

Data for an optimized crystal structure of CsHOs2Au.

Unit cell a=3.942 b=3.942 c=5.466 alpha=90.00 beta=90.00 gamma=90.00
Atoms (fractional coordinates):
Cs1 0.000 0.000 0.500
Os1 0.000 0.500 0.000
Os2 0.500 0.000 0.000
Au1 0.500 0.500 0.500
H1 0.000 0.000 0.000

=====

Sequential VASP energy output: -4.21, -4.91 eV/atom
Sequential density output: 5.7, 13.9 g/cm3